Record 1
A crystal of SrPb3N relaxed with PBEsol, computed with SCAN.

Computed properties:
**Fermi-level density of states**: 0.6654 states/eV/atom
**Theoretical density**: 9.12 g/cm3
**Formation energy from raw total energies**: 0.24 eV per atom

a b c (Å): 5.0882 5.0882 5.0882
angles (deg): 90.00 90.00 90.00
Fractional coordinates of all 5 atoms:
Pb (0.5000, 0.0000, 0.0000)
Pb (0.0000, 0.5000, 0.0000)
Pb (0.0000, 0.0000, 0.5000)
N (0.0000, 0.0000, 0.0000)
Sr (0.5000, 0.5000, 0.5000)

Record 2
A crystal of Y3FeCl relaxed with PBEsol, computed with SCAN.

Computed properties:
**Fermi-level density of states**: 1.2189 states/eV/atom
**Theoretical density**: 4.71 g/cm3
**Formation energy from raw total energies**: -0.16 eV per atom

a b c (Å): 5.0162 5.0162 5.0162
angles (deg): 90.00 90.00 90.00
Fractional coordinates of all 5 atoms:
Cl (0.0000, 0.0000, 0.0000)
Fe (0.5000, 0.5000, 0.5000)
Y (0.5000, 0.0000, 0.0000)
Y (0.0000, 0.5000, 0.0000)
Y (0.0000, 0.0000, 0.5000)

Record 3
A crystal of Ca2ScBr relaxed with PBEsol, computed with SCAN.

Computed properties:
**Fermi-level density of states**: 1.0102 states/eV/atom
**Theoretical density**: 2.76 g/cm3
**Formation energy from raw total energies**: -0.13 eV per atom

a b c (Å): 4.5117 4.5117 6.8458
angles (deg): 109.24 109.24 90.00
Fractional coordinates of all 4 atoms:
Br (0.2500, 0.7500, 0.5000)
Sc (0.5000, 0.5000, 0.0000)
Ca (0.7500, 0.2500, 0.5000)
Ca (0.0000, 0.0000, 0.0000)

Record 4
A crystal of HgIF relaxed with PBEsol, computed with SCAN.

Computed properties:
**Theoretical density**: 6.70 g/cm3
**Formation energy from raw total energies**: -0.87 eV per atom

a b c (Å): 4.4666 4.4213 8.8557
angles (deg): 90.00 79.10 89.93
Fractional coordinates of all 6 atoms:
Hg (0.3426, 0.7501, 0.6655)
Hg (0.6574, 0.2499, 0.3345)
I (0.2083, 0.2491, 0.1481)
I (0.7917, 0.7509, 0.8519)
F (0.6761, 0.7497, 0.4417)
F (0.3239, 0.2503, 0.5583)

Record 5
A crystal of La2MgTl relaxed with PBEsol, computed with SCAN.

Computed properties:
**DFT formation energy**: -0.395 eV/atom
**Fermi-level density of states**: 0.8546 states/eV/atom
**Theoretical density**: 7.15 g/cm3

a b c (Å): 3.5982 4.5868 7.1291
angles (deg): 90.00 90.00 90.00
Fractional coordinates of all 4 atoms:
La (0.0000, 0.0000, 0.2598)
La (0.0000, 0.0000, 0.7402)
Mg (0.5000, 0.5000, 0.0000)
Tl (0.5000, 0.5000, 0.5000)

Record 6
A crystal of CoB relaxed with PBEsol, computed with SCAN.

Computed properties:
**DFT formation energy**: -0.306 eV/atom
**Fermi-level density of states**: 0.1522 states/eV/atom
**Theoretical density**: 7.71 g/cm3

a b c (Å): 3.0492 3.8829 5.0741
angles (deg): 90.00 90.00 90.00
Fractional coordinates of all 8 atoms:
Co (0.7500, 0.6286, 0.3234)
Co (0.7500, 0.8714, 0.8234)
Co (0.2500, 0.3714, 0.6766)
Co (0.2500, 0.1286, 0.1766)
B (0.2500, 0.6266, 0.0326)
B (0.7500, 0.3734, 0.9674)
B (0.2500, 0.8734, 0.5326)
B (0.7500, 0.1266, 0.4674)

Record 7
A crystal of CuAu relaxed with PBEsol, computed with SCAN.

Computed properties:
**DFT formation energy**: -0.047 eV/atom
**Fermi-level density of states**: 0.2740 states/eV/atom
**Theoretical density**: 14.35 g/cm3

a b c (Å): 2.8213 4.6366 5.0211
angles (deg): 106.25 106.32 90.00
Fractional coordinates of all 4 atoms:
Au (0.1118, 0.3244, 0.2237)
Au (0.8882, 0.6756, 0.7763)
Cu (0.3598, 0.1568, 0.7195)
Cu (0.6402, 0.8432, 0.2805)

Record 8
A crystal of MgTlHIr2 relaxed with PBEsol, computed with SCAN.

Computed properties:
**Fermi-level density of states**: 0.5067 states/eV/atom
**Theoretical density**: 13.35 g/cm3
**Total DFT energy (no corrections)**: -43.4832 eV/atom

a b c (Å): 3.2492 4.8495 4.8495
angles (deg): 90.00 90.00 90.00
Fractional coordinates of all 5 atoms:
Ir (0.0000, 0.0000, 0.5000)
Ir (0.0000, 0.5000, 0.0000)
Tl (0.5000, 0.5000, 0.5000)
Mg (0.0000, 0.0000, 0.0000)
H (0.5000, 0.0000, 0.0000)

Record 9
A crystal of BaLi2As relaxed with PBEsol, computed with SCAN.

Computed properties:
**DFT formation energy**: -0.463 eV/atom
**Fermi-level density of states**: 0.2983 states/eV/atom
**Theoretical density**: 3.56 g/cm3

a b c (Å): 3.4412 4.0671 7.5301
angles (deg): 90.00 90.00 90.00
Fractional coordinates of all 4 atoms:
As (0.0000, 0.0000, 0.5680)
Ba (0.5000, 0.5000, 0.3069)
Li (0.0000, 0.0000, 0.9072)
Li (0.5000, 0.5000, 0.7178)

Record 10
A crystal of Rb2CrIr relaxed with PBEsol, computed with SCAN.

Computed properties:
**DFT formation energy**: 1.343 eV/atom
**Fermi-level density of states**: 0.4276 states/eV/atom
**Theoretical density**: 6.16 g/cm3

a b c (Å): 5.4098 5.4098 5.4098
angles (deg): 60.00 60.00 60.00
Fractional coordinates of all 4 atoms:
Ir (0.5000, 0.5000, 0.5000)
Cr (0.0000, 0.0000, 0.0000)
Rb (0.2500, 0.2500, 0.2500)
Rb (0.7500, 0.7500, 0.7500)

Record 11
A crystal of Te2RhS relaxed with PBEsol, computed with SCAN.

Computed properties:
**Fermi-level density of states**: 0.7896 states/eV/atom
**Theoretical density**: 7.63 g/cm3
**Formation energy from raw total energies**: 0.58 eV per atom

a b c (Å): 3.2620 3.2620 9.4022
angles (deg): 80.01 80.01 60.00
Fractional coordinates of all 4 atoms:
S (0.5000, 0.5000, 0.5000)
Te (0.9094, 0.9094, 0.2718)
Te (0.0906, 0.0906, 0.7282)
Rh (0.0000, 0.0000, 0.0000)

Record 12
A crystal of TaTcAu2 relaxed with PBEsol, computed with SCAN.

Computed properties:
**DFT formation energy**: 0.281 eV/atom
**Fermi-level density of states**: 1.2955 states/eV/atom
**Theoretical density**: 17.11 g/cm3

a b c (Å): 4.5203 4.5203 4.5203
angles (deg): 60.00 60.00 60.00
Fractional coordinates of all 4 atoms:
Au (0.7500, 0.7500, 0.7500)
Au (0.2500, 0.2500, 0.2500)
Ta (0.0000, 0.0000, 0.0000)
Tc (0.5000, 0.5000, 0.5000)

Record 13
A crystal of Mg2OsAu relaxed with PBEsol, computed with SCAN.

Computed properties:
**DFT formation energy**: 0.004 eV/atom
**Fermi-level density of states**: 0.3849 states/eV/atom
**Theoretical density**: 11.22 g/cm3

a b c (Å): 2.8986 4.7643 5.0176
angles (deg): 111.41 90.00 90.00
Fractional coordinates of all 4 atoms:
Au (0.0000, 0.5000, 0.5000)
Os (0.5000, 0.5000, 0.0000)
Mg (0.0000, 0.0000, 0.0000)
Mg (0.5000, 0.0000, 0.5000)

Record 14
A crystal of MnSeI3 relaxed with PBEsol, computed with SCAN.

Computed properties:
**Fermi-level density of states**: 0.4537 states/eV/atom
**Theoretical density**: 5.52 g/cm3
**Formation energy from raw total energies**: 0.10 eV per atom

a b c (Å): 5.3693 5.3693 5.3693
angles (deg): 90.00 90.00 90.00
Fractional coordinates of all 5 atoms:
Mn (0.0000, 0.0000, 0.0000)
I (0.5000, 0.0000, 0.0000)
I (0.0000, 0.0000, 0.5000)
I (0.0000, 0.5000, 0.0000)
Se (0.5000, 0.5000, 0.5000)

Record 15
A crystal of TiIrS2 relaxed with PBEsol, computed with SCAN.

Computed properties:
**Fermi-level density of states**: 0.7696 states/eV/atom
**Theoretical density**: 6.78 g/cm3
**Formation energy from raw total energies**: -0.23 eV per atom

a b c (Å): 3.4359 3.4359 7.5495
angles (deg): 76.85 76.85 60.00
Fractional coordinates of all 4 atoms:
S (0.1093, 0.1093, 0.6721)
S (0.8907, 0.8907, 0.3279)
Ti (0.0000, 0.0000, 0.0000)
Ir (0.5000, 0.5000, 0.5000)

Record 16
A crystal of Ca2BeAl relaxed with PBEsol, computed with SCAN.

Computed properties:
**DFT formation energy**: -0.021 eV/atom
**Fermi-level density of states**: 0.7365 states/eV/atom
**Theoretical density**: 1.76 g/cm3

a b c (Å): 4.1848 4.1848 7.6098
angles (deg): 74.04 74.04 60.00
Fractional coordinates of all 4 atoms:
Be (0.2078, 0.2078, 0.3765)
Al (0.5420, 0.5420, 0.3739)
Ca (0.9646, 0.9646, 0.1063)
Ca (0.7856, 0.7856, 0.6433)

Record 17
A crystal of Sn2PtI relaxed with PBEsol, computed with SCAN.

Computed properties:
**Fermi-level density of states**: 0.5935 states/eV/atom
**Theoretical density**: 9.76 g/cm3
**Formation energy from raw total energies**: 0.43 eV per atom

a b c (Å): 5.1243 5.1243 5.1243
angles (deg): 60.00 60.00 60.00
Fractional coordinates of all 4 atoms:
Pt (0.5000, 0.5000, 0.5000)
Sn (0.2500, 0.2500, 0.2500)
Sn (0.7500, 0.7500, 0.7500)
I (0.0000, 0.0000, 0.0000)

Record 18
A crystal of TeRh2O6 relaxed with PBEsol, computed with SCAN.

Computed properties:
**Fermi-level density of states**: 0.5218 states/eV/atom
**Theoretical density**: 7.15 g/cm3
**Formation energy from raw total energies**: -1.03 eV per atom

a b c (Å): 4.5983 4.5983 9.4300
angles (deg): 90.00 90.00 90.00
Fractional coordinates of all 18 atoms:
Rh (0.0000, 0.0000, 0.6678)
Rh (0.0000, 0.0000, 0.3322)
Rh (0.5000, 0.5000, 0.8322)
Rh (0.5000, 0.5000, 0.1678)
O (0.6876, 0.6876, 0.0000)
O (0.1958, 0.8042, 0.1689)
O (0.1958, 0.8042, 0.8311)
O (0.8124, 0.1876, 0.5000)
O (0.3124, 0.3124, 0.0000)
O (0.6958, 0.6958, 0.6689)
O (0.6958, 0.6958, 0.3311)
O (0.3042, 0.3042, 0.6689)
O (0.1876, 0.8124, 0.5000)
O (0.8042, 0.1958, 0.8311)
O (0.8042, 0.1958, 0.1689)
O (0.3042, 0.3042, 0.3311)
Te (0.0000, 0.0000, 0.0000)
Te (0.5000, 0.5000, 0.5000)

Record 19
A crystal of UAs2 relaxed with PBEsol, computed with SCAN.

Computed properties:
**DFT formation energy**: -0.539 eV/atom
**Fermi-level density of states**: 1.5373 states/eV/atom
**Theoretical density**: 10.43 g/cm3

a b c (Å): 3.8203 7.0072 9.2312
angles (deg): 90.00 90.00 90.00
Fractional coordinates of all 12 atoms:
U (0.7500, 0.7037, 0.6466)
U (0.2500, 0.7963, 0.1466)
U (0.7500, 0.2037, 0.8534)
U (0.2500, 0.2963, 0.3534)
As (0.7500, 0.6064, 0.9516)
As (0.2500, 0.4032, 0.6721)
As (0.7500, 0.1064, 0.5484)
As (0.2500, 0.8936, 0.4516)
As (0.7500, 0.5968, 0.3279)
As (0.7500, 0.0968, 0.1721)
As (0.2500, 0.9032, 0.8279)
As (0.2500, 0.3936, 0.0484)

Record 20
A crystal of LaFeAsO relaxed with PBEsol, computed with SCAN.

Computed properties:
**Fermi-level density of states**: 0.3490 states/eV/atom
**Theoretical density**: 7.12 g/cm3
**Formation energy from raw total energies**: -1.92 eV per atom

a b c (Å): 3.9694 3.9694 8.4572
angles (deg): 90.00 90.00 90.00
Fractional coordinates of all 8 atoms:
Fe (0.5000, 0.5000, 0.5000)
Fe (0.0000, 0.0000, 0.5000)
As (0.5000, 0.0000, 0.6390)
As (0.0000, 0.5000, 0.3610)
O (0.0000, 0.0000, 0.0000)
O (0.5000, 0.5000, 0.0000)
La (0.5000, 0.0000, 0.1469)
La (0.0000, 0.5000, 0.8531)

Record 21
A crystal of TmB2 relaxed with PBEsol, computed with SCAN.

Computed properties:
**DFT formation energy**: -0.736 eV/atom
**Fermi-level density of states**: 0.2640 states/eV/atom
**Theoretical density**: 9.34 g/cm3

a b c (Å): 3.2374 3.2374 3.7337
angles (deg): 90.00 90.00 120.00
Fractional coordinates of all 3 atoms:
Tm (0.0000, 0.0000, 0.0000)
B (0.3333, 0.6667, 0.5000)
B (0.6667, 0.3333, 0.5000)

Record 22
A crystal of BaMg2Pt2 relaxed with PBEsol, computed with SCAN.

Computed properties:
**DFT formation energy**: -0.903 eV/atom
**Fermi-level density of states**: 0.3583 states/eV/atom
**Theoretical density**: 8.54 g/cm3

a b c (Å): 4.3654 4.3654 6.6364
angles (deg): 109.20 109.20 90.00
Fractional coordinates of all 5 atoms:
Mg (0.7500, 0.2500, 0.5000)
Mg (0.2500, 0.7500, 0.5000)
Pt (0.3856, 0.3856, 0.7713)
Pt (0.6144, 0.6144, 0.2287)
Ba (0.0000, 0.0000, 0.0000)

Record 23
A crystal of ZnFe2Br relaxed with PBEsol, computed with SCAN.

Computed properties:
**Fermi-level density of states**: 0.5714 states/eV/atom
**Theoretical density**: 7.15 g/cm3
**Formation energy from raw total energies**: 0.53 eV per atom

a b c (Å): 2.8651 2.8651 8.0213
angles (deg): 90.00 90.00 114.95
Fractional coordinates of all 4 atoms:
Zn (0.5000, 0.5000, 0.5000)
Fe (0.0000, 0.0000, 0.2548)
Fe (0.0000, 0.0000, 0.7452)
Br (0.5000, 0.5000, 0.0000)

Record 24
A crystal of ZrTiSbI2 relaxed with PBEsol, computed with SCAN.

Computed properties:
**Fermi-level density of states**: 0.5697 states/eV/atom
**Theoretical density**: 4.98 g/cm3
**Formation energy from raw total energies**: 0.29 eV per atom

a b c (Å): 5.4967 5.4967 5.6793
angles (deg): 90.00 90.00 90.00
Fractional coordinates of all 5 atoms:
I (0.5000, 0.0000, 0.0000)
I (0.0000, 0.5000, 0.0000)
Zr (0.0000, 0.0000, 0.0000)
Sb (0.0000, 0.0000, 0.5000)
Ti (0.5000, 0.5000, 0.5000)

Record 25
A crystal of TiGa2PN relaxed with PBEsol, computed with SCAN.

Computed properties:
**Fermi-level density of states**: 0.6129 states/eV/atom
**Theoretical density**: 5.36 g/cm3
**Formation energy from raw total energies**: 0.08 eV per atom

a b c (Å): 4.0518 4.2153 4.2153
angles (deg): 90.00 90.00 90.00
Fractional coordinates of all 5 atoms:
N (0.0000, 0.0000, 0.0000)
Ti (0.5000, 0.0000, 0.0000)
P (0.5000, 0.5000, 0.5000)
Ga (0.0000, 0.5000, 0.0000)
Ga (0.0000, 0.0000, 0.5000)

Record 26
A crystal of Ca2MgW relaxed with PBEsol, computed with SCAN.

Computed properties:
**DFT formation energy**: 0.751 eV/atom
**Fermi-level density of states**: 0.9457 states/eV/atom
**Theoretical density**: 4.98 g/cm3

a b c (Å): 3.0204 5.7118 6.0331
angles (deg): 106.76 104.50 90.00
Fractional coordinates of all 4 atoms:
W (0.2233, 0.7861, 0.4466)
Ca (0.7681, 0.3086, 0.5361)
Ca (0.9736, 0.9267, 0.9473)
Mg (0.5350, 0.4786, 0.0699)

Record 27
A crystal of CoCuNiS4 relaxed with PBEsol, computed with SCAN.

Computed properties:
**Fermi-level density of states**: 0.2552 states/eV/atom
**Theoretical density**: 4.98 g/cm3
**Formation energy from raw total energies**: -0.51 eV per atom

a b c (Å): 6.6060 6.6298 6.6298
angles (deg): 60.36 60.12 60.12
Fractional coordinates of all 14 atoms:
S (0.2397, 0.7322, 0.7883)
S (0.2125, 0.2643, 0.7643)
S (0.2397, 0.2883, 0.2322)
S (0.7875, 0.7357, 0.2357)
S (0.2412, 0.7357, 0.2357)
S (0.7603, 0.2678, 0.2117)
S (0.7603, 0.7117, 0.7678)
S (0.7588, 0.2643, 0.7643)
Cu (0.6265, 0.1235, 0.6235)
Cu (0.3735, 0.8765, 0.3765)
Co (0.0000, 0.5000, 0.0000)
Co (0.5000, 0.5000, 0.0000)
Ni (0.0000, 0.5000, 0.5000)
Ni (0.0000, 0.0000, 0.0000)